[1]
A crystal of AlNiOs2 relaxed with PBEsol. Source: Alexandria via LeMat-Bulk, functional meta-GGA SCAN.

a b c (Å): 2.799 4.441 5.022
angles (deg): 116.24 106.18 90.00
Atoms (fractional coordinates):
Ni1 0.000 0.500 0.000
Os1 0.750 0.750 0.501
Os2 0.250 0.250 0.499
Al1 0.500 0.000 0.000

Results
Total magnetic moment in μB/f.u.: 0.00
Density in g/cm3: 14.54
Volume in A^3/atom: 13.305
Energy relative to the elements in eV per atom: 0.0173

[2]
A crystal of AlNiOs2 relaxed with PBEsol. Source: Alexandria via LeMat-Bulk, functional meta-GGA SCAN.

a b c (Å): 2.705 2.705 8.472
angles (deg): 80.81 80.81 60.00
Atoms (fractional coordinates):
Ni1 0.248 0.248 0.257
Os1 0.998 0.998 0.006
Os2 0.750 0.750 0.749
Al1 0.504 0.504 0.488

Results
Total magnetic moment in μB/f.u.: 0.00
Density in g/cm3: 14.67
Volume in A^3/atom: 13.193
Energy relative to the elements in eV per atom: -0.0753

[3]
A crystal of AlNiOs2 relaxed with PBEsol. Source: Alexandria via LeMat-Bulk, functional meta-GGA SCAN.

a b c (Å): 2.713 2.713 8.408
angles (deg): 80.72 80.72 60.00
Atoms (fractional coordinates):
Ni1 0.000 0.000 0.000
Os1 0.252 0.252 0.245
Os2 0.748 0.748 0.755
Al1 0.500 0.500 0.500

Results
Total magnetic moment in μB/f.u.: 0.00
Density in g/cm3: 14.70
Volume in A^3/atom: 13.163
Energy relative to the elements in eV per atom: -0.0144

[4]
A crystal of AlNi2Os relaxed with PBEsol. Source: Alexandria via LeMat-Bulk, functional meta-GGA SCAN.

a b c (Å): 2.648 4.278 4.278
angles (deg): 90.00 90.00 90.00
Atoms (fractional coordinates):
Al1 0.500 0.000 0.000
Ni1 0.000 0.000 0.500
Ni2 0.000 0.500 0.000
Os1 0.500 0.500 0.500

Results
Total magnetic moment in μB/f.u.: 0.00
Density in g/cm3: 11.47
Volume in A^3/atom: 12.114
Energy relative to the elements in eV per atom: -0.1609

[5]
A crystal of AlNi2Os relaxed with PBEsol. Source: Alexandria via LeMat-Bulk, functional meta-GGA SCAN.

a b c (Å): 2.680 4.274 4.905
angles (deg): 115.83 105.85 90.00
Atoms (fractional coordinates):
Al1 0.261 0.761 0.523
Ni1 0.999 0.999 0.999
Ni2 0.742 0.242 0.484
Os1 0.497 0.497 0.995

Results
Total magnetic moment in μB/f.u.: 0.00
Density in g/cm3: 11.53
Volume in A^3/atom: 12.048
Energy relative to the elements in eV per atom: -0.1762

[6]
A crystal of AlNi2P relaxed with PBEsol. Source: Alexandria via LeMat-Bulk, functional meta-GGA SCAN.

a b c (Å): 4.048 4.048 4.048
angles (deg): 60.00 60.00 60.00
Atoms (fractional coordinates):
Ni1 0.000 0.000 0.000
Ni2 0.250 0.250 0.250
Al1 0.500 0.500 0.500
P1 0.750 0.750 0.750

Results
Energy above the most stable polymorph in this dataset in eV per atom: 0.317
Total magnetic moment in μB/f.u.: 0.00
Density in g/cm3: 6.21
Volume in A^3/atom: 11.727
Energy relative to the elements in eV per atom: -0.0509

[7]
A crystal of AlNi2P relaxed with PBEsol. Source: Alexandria via LeMat-Bulk, functional meta-GGA SCAN.

a b c (Å): 2.761 4.005 4.516
angles (deg): 100.13 90.00 110.16
Atoms (fractional coordinates):
Ni1 0.747 0.493 0.737
Ni2 0.253 0.507 0.263
Al1 0.500 0.000 0.000
P1 0.000 0.000 0.500

Results
Energy above the most stable polymorph in this dataset in eV per atom: 0.000
Total magnetic moment in μB/f.u.: 0.00
Density in g/cm3: 6.32
Volume in A^3/atom: 11.511
Energy relative to the elements in eV per atom: -0.3674

[8]
A crystal of Al2NiP relaxed with PBEsol. Source: Alexandria via LeMat-Bulk, functional meta-GGA SCAN.

a b c (Å): 2.971 2.971 7.555
angles (deg): 78.66 78.66 60.00
Atoms (fractional coordinates):
Ni1 0.508 0.508 0.477
Al1 0.993 0.993 0.020
Al2 0.758 0.758 0.725
P1 0.241 0.241 0.278

Results
Total magnetic moment in μB/f.u.: 0.00
Density in g/cm3: 4.24
Volume in A^3/atom: 14.059
Energy relative to the elements in eV per atom: -0.1189

[9]
A crystal of Al2NiP relaxed with PBEsol. Source: Alexandria via LeMat-Bulk, functional meta-GGA SCAN.

a b c (Å): 3.494 3.644 4.636
angles (deg): 90.00 112.13 90.00
Atoms (fractional coordinates):
Ni1 0.701 0.000 0.401
Al1 0.981 0.000 0.962
Al2 0.274 0.500 0.547
P1 0.552 0.500 0.104

Results
Total magnetic moment in μB/f.u.: 0.00
Density in g/cm3: 4.36
Volume in A^3/atom: 13.667
Energy relative to the elements in eV per atom: -0.4447

[10]
A crystal of Al2NiP relaxed with PBEsol. Source: Alexandria via LeMat-Bulk, functional meta-GGA SCAN.

a b c (Å): 2.790 4.433 4.433
angles (deg): 107.84 90.00 90.00
Atoms (fractional coordinates):
Ni1 0.500 0.000 0.000
Al1 0.000 0.500 0.000
Al2 0.000 0.000 0.500
P1 0.500 0.500 0.500

Results
Total magnetic moment in μB/f.u.: 0.00
Density in g/cm3: 4.57
Volume in A^3/atom: 13.045
Energy relative to the elements in eV per atom: -0.1704

[11]
A crystal of Al2NiP relaxed with PBEsol. Source: Alexandria via LeMat-Bulk, functional meta-GGA SCAN.

a b c (Å): 3.612 3.990 4.525
angles (deg): 116.16 113.53 90.00
Atoms (fractional coordinates):
Ni1 0.000 0.500 0.000
Al1 0.750 0.750 0.500
Al2 0.250 0.250 0.500
P1 0.500 0.000 0.000

Results
Total magnetic moment in μB/f.u.: 0.00
Density in g/cm3: 4.55
Volume in A^3/atom: 13.106
Energy relative to the elements in eV per atom: -0.1221

[12]
A crystal of Al2NiP relaxed with PBEsol. Source: Alexandria via LeMat-Bulk, functional meta-GGA SCAN.

a b c (Å): 2.744 2.744 7.085
angles (deg): 90.00 90.00 90.00
Atoms (fractional coordinates):
Ni1 0.500 0.500 0.000
Al1 0.000 0.000 0.782
Al2 0.000 0.000 0.218
P1 0.500 0.500 0.500

Results
Total magnetic moment in μB/f.u.: 0.00
Density in g/cm3: 4.47
Volume in A^3/atom: 13.337
Energy relative to the elements in eV per atom: -0.2008